# 1
A plane-wave DFT calculation with PBE was carried out for an optimized crystal structure of RbCuRuO2.

Properties
spin magnetization = 0.0 Bohr magnetons per cell
calculated total energy = -4.726 eV per atom

a b c (Å): 3.851 3.851 6.890
angles (deg): 90.00 90.00 90.00
Space group P4/mmm (No. 123)
Inequivalent atoms, fractional coordinates:
1 Rb 0.000 0.000 0.000 (multiplicity 1)
2 Cu 0.500 0.500 0.000 (multiplicity 1)
3 Ru 0.000 0.000 0.500 (multiplicity 1)
4 O 0.000 0.500 0.500 (multiplicity 2)

***

# 2
A plane-wave DFT calculation with PBE was carried out for an optimized crystal structure of RbCuSO.

Properties
energy above the most stable polymorph in this dataset = 113 meV/atom
spin magnetization = 0.0 Bohr magnetons per cell
calculated total energy = -4.300 eV per atom

a b c (Å): 5.549 5.701 6.811
angles (deg): 67.49 68.80 89.07
Space group P1 (No. 1)
Inequivalent atoms, fractional coordinates:
1 Rb 0.000 0.000 0.000 (multiplicity 1)
2 Rb 0.340 0.346 0.258 (multiplicity 1)
3 Cu 0.433 0.672 0.537 (multiplicity 1)
4 Cu 0.961 0.670 0.547 (multiplicity 1)
5 S 0.613 0.400 0.735 (multiplicity 1)
6 S 0.697 0.112 0.572 (multiplicity 1)
7 O 0.283 0.839 0.333 (multiplicity 1)
8 O 0.821 0.269 0.303 (multiplicity 1)

***

# 3
A plane-wave DFT calculation with PBE was carried out for an optimized crystal structure of RbCuSO.

Properties
energy above the most stable polymorph in this dataset = 79 meV/atom
spin magnetization = 0.0 Bohr magnetons per cell
calculated total energy = -4.335 eV per atom

a b c (Å): 4.078 4.115 8.649
angles (deg): 91.36 90.02 90.07
Space group P-1 (No. 2)
Inequivalent atoms, fractional coordinates:
1 Rb 0.249 0.242 0.346 (multiplicity 2)
2 Cu 0.249 0.797 0.999 (multiplicity 2)
3 S 0.252 0.289 0.863 (multiplicity 2)
4 O 0.251 0.255 0.673 (multiplicity 2)

***

# 4
A plane-wave DFT calculation with PBE was carried out for an optimized crystal structure of Rb3CuS2O8.

Properties
spin magnetization = 0.1 Bohr magnetons per cell
calculated total energy = -5.464 eV per atom

a b c (Å): 5.8367 5.8367 7.6984
angles (deg): 90.00 90.00 120.00
Space group P-3m1 (No. 164)
Inequivalent atoms, fractional coordinates:
1 Rb 0.0000 0.0000 0.0000 (multiplicity 1)
2 Rb 0.3333 0.6667 0.6904 (multiplicity 2)
3 Cu 0.0000 0.0000 0.5000 (multiplicity 1)
4 S 0.3333 0.6667 0.2524 (multiplicity 2)
5 O 0.1931 0.3862 0.3190 (multiplicity 6)
6 O 0.3333 0.6667 0.0604 (multiplicity 2)

***

> What is the calculated total energy in the second record?

-4.300 eV per atom

***

Copy entry 3 word for word.
A plane-wave DFT calculation with PBE was carried out for an optimized crystal structure of RbCuSO.

Properties
energy above the most stable polymorph in this dataset = 79 meV/atom
spin magnetization = 0.0 Bohr magnetons per cell
calculated total energy = -4.335 eV per atom

a b c (Å): 4.078 4.115 8.649
angles (deg): 91.36 90.02 90.07
Space group P-1 (No. 2)
Inequivalent atoms, fractional coordinates:
1 Rb 0.249 0.242 0.346 (multiplicity 2)
2 Cu 0.249 0.797 0.999 (multiplicity 2)
3 S 0.252 0.289 0.863 (multiplicity 2)
4 O 0.251 0.255 0.673 (multiplicity 2)

***

> What is the spin magnetization in the first record?

0.0 Bohr magnetons per cell

***

> Which value of calculated total energy does entry 4 give?

-5.464 eV per atom